Below is a relaxed K3Mg2Cl2F5 crystal, with properties calculated at the PBE level.

The structure in CIF format:
```
data_K3Mg2Cl2F5
_chemical_formula_sum 'K6 Mg4 Cl4 F10'
_symmetry_space_group_name_H-M 'I 4/m m m'
_symmetry_Int_Tables_number 139
_symmetry_space_group_name_Hall '-I 4 2'
_cell_length_a 4.1723
_cell_length_b 4.1723
_cell_length_c 23.8781
_cell_angle_alpha 90.00
_cell_angle_beta 90.00
_cell_angle_gamma 90.00
loop_
_atom_site_label
_atom_site_type_symbol
_atom_site_fract_x
_atom_site_fract_y
_atom_site_fract_z
_atom_site_occupancy
K1 K 0.0000 0.0000 0.0000 1
K2 K 0.0000 0.0000 0.1709 1
Mg1 Mg 0.0000 0.0000 0.4168 1
Cl1 Cl 0.0000 0.0000 0.3100 1
F1 F 0.0000 0.0000 0.5000 1
F2 F 0.0000 0.5000 0.0834 1
```

Properties
For the total moment, the calculation gives 0.000 μB per formula unit. As for the raw total energy: -4.487 eV per atom.



Below is a relaxed NiIr2Ru crystal, with properties calculated at the PBE level.

The structure in CIF format:
```
data_NiIr2Ru
_chemical_formula_sum 'Ni2 Ir4 Ru2'
_symmetry_space_group_name_H-M 'I -4 m 2'
_symmetry_Int_Tables_number 119
_symmetry_space_group_name_Hall 'I -4 -2'
_cell_length_a 3.7616
_cell_length_b 3.7616
_cell_length_c 7.6773
_cell_angle_alpha 90.00
_cell_angle_beta 90.00
_cell_angle_gamma 90.00
loop_
_atom_site_label
_atom_site_type_symbol
_atom_site_fract_x
_atom_site_fract_y
_atom_site_fract_z
_atom_site_occupancy
Ni1 Ni 0.0000 0.0000 0.0000 1
Ir1 Ir 0.0000 0.0000 0.5000 1
Ir2 Ir 0.0000 0.5000 0.2500 1
Ru1 Ru 0.0000 0.5000 0.7500 1
```

Properties
Its energy above the most stable polymorph in this dataset is 0.20 eV per formula unit. For the total moment, the calculation gives 0.001 μB per formula unit. For the formation energy, the calculation gives 0.039 eV per atom.



Below is a relaxed ZrPaP2 crystal, with properties calculated at the PBE level.

The structure in CIF format:
```
data_ZrPaP2
_chemical_formula_sum 'Zr3 Pa3 P6'
_symmetry_space_group_name_H-M 'R -3 m'
_symmetry_Int_Tables_number 166
_symmetry_space_group_name_Hall '-R 3 2"'
_cell_length_a 3.8860
_cell_length_b 3.8860
_cell_length_c 18.5761
_cell_angle_alpha 90.00
_cell_angle_beta 90.00
_cell_angle_gamma 120.00
loop_
_atom_site_label
_atom_site_type_symbol
_atom_site_fract_x
_atom_site_fract_y
_atom_site_fract_z
_atom_site_occupancy
Zr1 Zr 0.0000 0.0000 0.0000 1
Pa1 Pa 0.0000 0.0000 0.5000 1
P1 P 0.0000 0.0000 0.2544 1
```

Properties
Its energy above the most stable polymorph in this dataset is 0.00 eV per formula unit. For the total moment, the calculation gives 0.000 μB per formula unit. For the formation energy, the calculation gives -1.367 eV per atom.



Below is a relaxed FeCoOs crystal, with properties calculated at the PBE level.

The structure in CIF format:
```
data_FeCoOs
_chemical_formula_sum 'Fe1 Co1 Os1'
_symmetry_space_group_name_H-M 'P -6 m 2'
_symmetry_Int_Tables_number 187
_symmetry_space_group_name_Hall 'P -6 2'
_cell_length_a 4.0212
_cell_length_b 4.0212
_cell_length_c 2.5550
_cell_angle_alpha 90.00
_cell_angle_beta 90.00
_cell_angle_gamma 120.00
loop_
_atom_site_label
_atom_site_type_symbol
_atom_site_fract_x
_atom_site_fract_y
_atom_site_fract_z
_atom_site_occupancy
Fe1 Fe 0.0000 0.0000 0.0000 1
Co1 Co 0.6667 0.3333 0.0000 1
Os1 Os 0.3333 0.6667 0.5000 1
```

Properties
Its energy above the most stable polymorph in this dataset is 0.03 eV per formula unit. For the total moment, the calculation gives 1.872 μB per formula unit. For the formation energy, the calculation gives 0.120 eV per atom.



Below is a relaxed Mn2NbGa2 crystal, with properties calculated at the PBE level.

The structure in CIF format:
```
data_Mn2NbGa2
_chemical_formula_sum 'Mn4 Nb2 Ga4'
_symmetry_space_group_name_H-M 'P 4/m b m'
_symmetry_Int_Tables_number 127
_symmetry_space_group_name_Hall '-P 4 2ab'
_cell_length_a 7.1798
_cell_length_b 7.1798
_cell_length_c 2.8124
_cell_angle_alpha 90.00
_cell_angle_beta 90.00
_cell_angle_gamma 90.00
loop_
_atom_site_label
_atom_site_type_symbol
_atom_site_fract_x
_atom_site_fract_y
_atom_site_fract_z
_atom_site_occupancy
Mn1 Mn 0.1701 0.3299 0.0000 1
Nb1 Nb 0.0000 0.0000 0.5000 1
Ga1 Ga 0.1285 0.6285 0.5000 1
```

Properties
Its energy above the most stable polymorph in this dataset is 0.00 eV per formula unit. For the total moment, the calculation gives 4.450 μB per formula unit. For the formation energy, the calculation gives -0.078 eV per atom.



Below is a relaxed Pm2MgAs crystal, with properties calculated at the PBE level.

The structure in CIF format:
```
data_Pm2MgAs
_chemical_formula_sum 'Pm6 Mg3 As3'
_symmetry_space_group_name_H-M 'R -3 m'
_symmetry_Int_Tables_number 166
_symmetry_space_group_name_Hall '-R 3 2"'
_cell_length_a 4.1078
_cell_length_b 4.1078
_cell_length_c 24.9060
_cell_angle_alpha 90.00
_cell_angle_beta 90.00
_cell_angle_gamma 120.00
loop_
_atom_site_label
_atom_site_type_symbol
_atom_site_fract_x
_atom_site_fract_y
_atom_site_fract_z
_atom_site_occupancy
Pm1 Pm 0.0000 0.0000 0.2345 1
Mg1 Mg 0.0000 0.0000 0.0000 1
As1 As 0.0000 0.0000 0.5000 1
```

Properties
Its energy above the most stable polymorph in this dataset is 0.00 eV per formula unit. For the total moment, the calculation gives 0.000 μB per formula unit. For the formation energy, the calculation gives -0.674 eV per atom.



Below is a relaxed Zr2RuCl crystal, with properties calculated at the PBE level.

The structure in CIF format:
```
data_Zr2RuCl
_chemical_formula_sum 'Zr2 Ru1 Cl1'
_symmetry_space_group_name_H-M 'P 1 2/m 1'
_symmetry_Int_Tables_number 10
_symmetry_space_group_name_Hall '-P 2y'
_cell_length_a 3.2987
_cell_length_b 3.1309
_cell_length_c 7.8189
_cell_angle_alpha 90.00
_cell_angle_beta 90.07
_cell_angle_gamma 90.00
loop_
_atom_site_label
_atom_site_type_symbol
_atom_site_fract_x
_atom_site_fract_y
_atom_site_fract_z
_atom_site_occupancy
Zr1 Zr 0.0003 0.0000 0.2109 1
Ru1 Ru 0.5000 0.5000 0.0000 1
Cl1 Cl 0.0000 0.5000 0.5000 1
```

Properties
Its energy above the most stable polymorph in this dataset is 0.00 eV per formula unit. For the total moment, the calculation gives 0.000 μB per formula unit.



Below is a relaxed LiTlBiRh crystal, with properties calculated at the PBE level.

The structure in CIF format:
```
data_LiTlBiRh
_chemical_formula_sum 'Li4 Tl4 Bi4 Rh4'
_symmetry_space_group_name_H-M 'F -4 3 m'
_symmetry_Int_Tables_number 216
_symmetry_space_group_name_Hall 'F -4 2 3'
_cell_length_a 6.8352
_cell_length_b 6.8352
_cell_length_c 6.8352
_cell_angle_alpha 90.00
_cell_angle_beta 90.00
_cell_angle_gamma 90.00
loop_
_atom_site_label
_atom_site_type_symbol
_atom_site_fract_x
_atom_site_fract_y
_atom_site_fract_z
_atom_site_occupancy
Li1 Li 0.0000 0.0000 0.0000 1
Tl1 Tl 0.2500 0.2500 0.2500 1
Bi1 Bi 0.2500 0.2500 0.7500 1
Rh1 Rh 0.0000 0.0000 0.5000 1
```

Properties
For the total moment, the calculation gives 0.000 μB per formula unit. For the formation energy, the calculation gives -0.131 eV per atom.